Entry from the Alexandria database: a relaxed PaBeP2N6 crystal (GGA-PBE).

Output
Raw formation energy ... -0.686 eV per atom
Spin magnetization ... 0.0 μB per formula unit

abc: 5.641 6.665 6.665
angles: 79.77 69.64 69.64
Sites, in units of the cell vectors:
N1 0.441 0.399 0.269
Pa1 0.250 0.831 0.169
N2 0.059 0.731 0.601
N3 0.963 0.386 0.831
N4 0.821 0.037 0.193
N5 0.463 0.831 0.386
N6 0.559 0.601 0.731
P1 0.321 0.776 0.634
P2 0.679 0.224 0.366
N7 0.679 0.807 0.963
N8 0.179 0.963 0.807
P3 0.179 0.366 0.224
N9 0.037 0.614 0.169
N10 0.941 0.269 0.399
N11 0.321 0.193 0.037
Be1 0.750 0.806 0.194
P4 0.821 0.634 0.776
N12 0.537 0.169 0.614
Pa2 0.750 0.169 0.831
Be2 0.250 0.194 0.806